1.
The following is a GGA-PBE calculation of a relaxed structure of La2Hg2F, from Alexandria.

The structure in POSCAR format:
```
La2Hg2F
1.0
-3.497 2.059 -0.661
-2.070 -3.551 -0.111
-4.068 -0.257 7.935
F Hg La
1 2 2
Direct
0.000 0.000 0.000
0.750 0.250 0.500
0.250 0.750 0.500
0.401 0.401 0.198
0.599 0.599 0.802
```

Summary:
As for the uncorrected formation energy: -0.6628 eV/atom. For the density of states at the Fermi level, the calculation gives 5.758 states/eV/f.u. The energy above the lowest structure with this stoichiometry is 568 meV per atom. Its space group is I4/mmm (139).

2.
The following is a GGA-PBE calculation of a relaxed structure of SrAs2P, from Alexandria.

The structure in POSCAR format:
```
SrAs2P
1.0
-1.666 3.496 -1.403
-4.162 -1.109 2.178
0.424 2.132 4.810
Sr As P
1 2 1
Direct
0.500 0.500 0.000
0.000 0.115 0.763
0.000 0.885 0.237
0.500 0.000 0.500
```

Summary:
For the density of states at the Fermi level, the calculation gives 1.801 states/eV/f.u. The formation energy is -370.1 meV/atom. Its space group is P2/m (10).

3.
The following is a GGA-PBE calculation of a relaxed structure of InReBr, from Alexandria.

The structure in POSCAR format:
```
InReBr
1.0
-0.320 1.937 -4.215
-4.059 -0.028 -2.269
-2.375 3.958 -0.566
Re Br In
1 1 1
Direct
0.750 0.750 0.750
0.000 0.000 0.000
0.500 0.500 0.500
```

Summary:
As for the uncorrected formation energy: 1.2349 eV/atom. For the density of states at the Fermi level, the calculation gives 2.519 states/eV/f.u. The energy above the lowest structure with this stoichiometry is 506 meV per atom. Its space group is F-43m (216).

4.
The following is a GGA-PBE calculation of a relaxed structure of HgC2Se, from Alexandria.

The structure in POSCAR format:
```
HgC2Se
1.0
0.000 3.044 3.044
3.044 0.000 3.044
3.044 3.044 0.000
C Hg Se
2 1 1
Direct
0.250 0.250 0.250
0.750 0.750 0.750
0.500 0.500 0.500
0.000 0.000 0.000
```

Summary:
As for the uncorrected formation energy: 2.7149 eV/atom. For the density of states at the Fermi level, the calculation gives 2.674 states/eV/f.u. The energy above the lowest structure with this stoichiometry is 999 meV per atom. Its space group is Fm-3m (225).

5.
The following is a GGA-PBE calculation of a relaxed structure of Sb2H2Pd7Pb, from Alexandria.

The structure in POSCAR format:
```
Sb2H2Pd7Pb
1.0
-0.794 -3.689 -1.528
3.836 -1.133 0.760
-1.606 -5.828 9.761
Sb H Pd Pb
2 2 7 1
Direct
0.821 0.821 0.384
0.179 0.179 0.616
0.580 0.580 0.826
0.420 0.420 0.174
0.500 0.500 0.000
0.323 0.323 0.376
0.677 0.677 0.624
0.909 0.409 0.193
0.409 0.909 0.193
0.591 0.091 0.807
0.091 0.591 0.807
0.000 0.000 0.000
```

Summary:
For the density of states at the Fermi level, the calculation gives 6.361 states/eV/f.u. Its total energy is -4.847 eV/atom. Its space group is C2/m (12).

6.
The following is a GGA-PBE calculation of a relaxed structure of LaRe2W, from Alexandria.

The structure in POSCAR format:
```
LaRe2W
1.0
-9.742 -1.138 -1.877
-9.459 -3.195 0.181
-9.932 -0.414 0.950
La Re W
1 2 1
Direct
0.750 0.750 0.750
0.989 0.989 0.989
0.511 0.511 0.511
0.250 0.250 0.250
```

Summary:
For the density of states at the Fermi level, the calculation gives 4.082 states/eV/f.u. The energy above the lowest structure with this stoichiometry is 274 meV per atom. The formation energy is 610.2 meV/atom. Its space group is R-3m (166).

7.
The following is a GGA-PBE calculation of a relaxed structure of TaZnAs2, from Alexandria.

The structure in POSCAR format:
```
TaZnAs2
1.0
3.793 0.000 0.000
0.000 3.541 0.006
0.000 1.758 5.257
As Ta Zn
2 1 1
Direct
0.000 0.004 0.866
0.500 0.281 0.314
0.000 0.703 0.470
0.500 0.512 0.850
```

Summary:
For the density of states at the Fermi level, the calculation gives 1.266 states/eV/f.u. The formation energy is -198.9 meV/atom. Its space group is Amm2 (38).

8.
The following is a GGA-PBE calculation of a relaxed structure of LiFeTe, from Alexandria.

The structure in POSCAR format:
```
LiFeTe
1.0
4.354 0.000 0.000
-2.177 3.771 0.000
0.000 0.000 3.688
Fe Li Te
1 1 1
Direct
0.000 0.000 0.833
0.333 0.667 0.334
0.667 0.333 0.833
```

Summary:
As for the uncorrected formation energy: 0.0010 eV/atom. For the density of states at the Fermi level, the calculation gives 3.532 states/eV/f.u. The energy above the lowest structure with this stoichiometry is 268 meV per atom. Its space group is P-6m2 (187).